Record 1
This record from the Alexandria database describes a relaxed structure of In2CuHgPb. The functional is GGA-PBE.

Geometry as POSCAR:
```
In2CuHgPb
1.0
5.139 0.000 0.000
0.000 5.139 0.000
0.000 0.000 5.311
In Cu Hg Pb
2 1 1 1
Direct
0.000 0.500 0.000
0.500 0.000 0.000
0.000 0.000 0.000
0.500 0.500 0.500
0.000 0.000 0.500
```

The calculation puts the offset from the most stable computed form at 0.0 meV per atom. For the total energy, the calculation gives -12.83 eV per cell. The calculation puts the formation energy at 14.5 kJ/mol of atoms. As for the volume: 140.3 Å³/cell.



Record 2
This record from the Alexandria database describes a relaxed structure of CaBi2WC. The functional is GGA-PBE.

Geometry as POSCAR:
```
CaBi2WC
1.0
5.627 0.000 0.000
0.000 5.627 0.000
0.000 0.000 4.122
Ca Bi W C
1 2 1 1
Direct
0.000 0.000 0.000
0.000 0.500 0.000
0.500 0.000 0.000
0.500 0.500 0.500
0.000 0.000 0.500
```

For the total energy, the calculation gives -19.77 eV per cell. The calculation puts the formation energy at 234.9 kJ/mol of atoms. As for the volume: 130.5 Å³/cell.



Record 3
This record from the Alexandria database describes a relaxed structure of NpAl3Zn. The functional is GGA-PBE.

Geometry as POSCAR:
```
NpAl3Zn
1.0
5.655 0.000 0.000
0.000 5.761 0.000
-0.158 0.000 5.712
Np Al Zn
2 6 2
Direct
0.152 0.250 0.155
0.848 0.750 0.845
0.059 0.750 0.356
0.342 0.003 0.669
0.342 0.497 0.669
0.658 0.503 0.331
0.658 0.997 0.331
0.941 0.250 0.644
0.360 0.750 0.048
0.640 0.250 0.952
```

The calculation puts the offset from the most stable computed form at 21.0 meV per atom. For the total energy, the calculation gives -51.39 eV per cell. The calculation puts the formation energy at -4.9 kJ/mol of atoms. As for the volume: 186.1 Å³/cell.



Record 4
This record from the Alexandria database describes a relaxed structure of AcAl2CdAg. The functional is GGA-PBE.

Geometry as POSCAR:
```
AcAl2CdAg
1.0
-2.317 2.317 5.514
2.317 -2.317 5.514
2.317 2.317 -5.514
Ac Al Cd Ag
1 2 1 1
Direct
0.000 0.000 0.000
0.383 0.383 0.000
0.617 0.617 0.000
0.250 0.750 0.500
0.750 0.250 0.500
```

For the total energy, the calculation gives -16.98 eV per cell. The calculation puts the formation energy at -31.3 kJ/mol of atoms. As for the volume: 118.4 Å³/cell.



Record 5
This record from the Alexandria database describes a relaxed structure of YScBe2. The functional is GGA-PBE.

Geometry as POSCAR:
```
YScBe2
1.0
3.045 0.000 0.000
0.000 3.045 0.000
0.000 0.000 7.693
Y Sc Be
1 1 2
Direct
0.000 0.000 0.000
0.500 0.500 0.637
0.000 0.000 0.398
0.500 0.500 0.277
```

The calculation puts the offset from the most stable computed form at 195.5 meV per atom. For the total energy, the calculation gives -19.37 eV per cell. The calculation puts the formation energy at 21.3 kJ/mol of atoms. As for the volume: 71.3 Å³/cell.



Record 6
This record from the Alexandria database describes a relaxed structure of SrP2W. The functional is GGA-PBE.

Geometry as POSCAR:
```
SrP2W
1.0
-1.967 1.967 5.071
1.967 -1.967 5.071
1.967 1.967 -5.071
Sr P W
1 2 1
Direct
0.000 0.000 0.000
0.500 0.500 0.000
0.750 0.250 0.500
0.250 0.750 0.500
```

The calculation puts the offset from the most stable computed form at 1081.7 meV per atom. For the total energy, the calculation gives -23.04 eV per cell. The calculation puts the formation energy at 58.2 kJ/mol of atoms. As for the volume: 78.5 Å³/cell.



Question: Among the records above, which one has the lowest volume?
Answer: YScBe2



Question: The lowest volume belongs to which entry?
Answer: YScBe2